1) # VS2ClF

VS2ClF after structural relaxation (PBE with a Hubbard U, the Alexandria database).

For the density, the calculation gives 2.9 g/cm3.

Cell and atoms, written as CIF:
```
data_VS2ClF
_cell_length_a 4.1469
_cell_length_b 4.1469
_cell_length_c 5.5629
_cell_angle_alpha 90.00
_cell_angle_beta 90.00
_cell_angle_gamma 90.00
_symmetry_space_group_name_H-M 'P 4/m m m'
_symmetry_Int_Tables_number 123
_symmetry_space_group_name_Hall '-P 4 2'
loop_
_atom_site_label
_atom_site_type_symbol
_atom_site_fract_x
_atom_site_fract_y
_atom_site_fract_z
V1 V 0.0000 0.0000 0.0000
S1 S 0.0000 0.5000 0.5000
Cl1 Cl 0.5000 0.5000 0.0000
F1 F 0.5000 0.5000 0.5000
```

2) # VS2ClF

VS2ClF after structural relaxation (PBE with a Hubbard U, the Alexandria database).

For the density, the calculation gives 3.0 g/cm3.

Cell and atoms, written as CIF:
```
data_VS2ClF
_cell_length_a 4.5013
_cell_length_b 4.5013
_cell_length_c 4.6671
_cell_angle_alpha 90.00
_cell_angle_beta 90.00
_cell_angle_gamma 90.00
_symmetry_space_group_name_H-M 'P 4/m m m'
_symmetry_Int_Tables_number 123
_symmetry_space_group_name_Hall '-P 4 2'
loop_
_atom_site_label
_atom_site_type_symbol
_atom_site_fract_x
_atom_site_fract_y
_atom_site_fract_z
V1 V 0.0000 0.0000 0.0000
S1 S 0.0000 0.5000 0.0000
Cl1 Cl 0.0000 0.0000 0.5000
F1 F 0.5000 0.5000 0.5000
```

Which of them is most stable? Easy: 2).

1) # WS2ClF

WS2ClF after structural relaxation (PBE with a Hubbard U, the Alexandria database).

For the density, the calculation gives 5.2 g/cm3.

Cell and atoms, written as CIF:
```
data_WS2ClF
_cell_length_a 4.1653
_cell_length_b 4.1653
_cell_length_c 5.5995
_cell_angle_alpha 90.00
_cell_angle_beta 90.00
_cell_angle_gamma 90.00
_symmetry_space_group_name_H-M 'P 4/m m m'
_symmetry_Int_Tables_number 123
_symmetry_space_group_name_Hall '-P 4 2'
loop_
_atom_site_label
_atom_site_type_symbol
_atom_site_fract_x
_atom_site_fract_y
_atom_site_fract_z
W1 W 0.0000 0.0000 0.0000
S1 S 0.0000 0.5000 0.5000
Cl1 Cl 0.5000 0.5000 0.0000
F1 F 0.5000 0.5000 0.5000
```

2) # WS2ClF

WS2ClF after structural relaxation (PBE with a Hubbard U, the Alexandria database).

For the density, the calculation gives 4.9 g/cm3.

Cell and atoms, written as CIF:
```
data_WS2ClF
_cell_length_a 4.6371
_cell_length_b 4.6371
_cell_length_c 4.8079
_cell_angle_alpha 90.00
_cell_angle_beta 90.00
_cell_angle_gamma 90.00
_symmetry_space_group_name_H-M 'P 4/m m m'
_symmetry_Int_Tables_number 123
_symmetry_space_group_name_Hall '-P 4 2'
loop_
_atom_site_label
_atom_site_type_symbol
_atom_site_fract_x
_atom_site_fract_y
_atom_site_fract_z
W1 W 0.0000 0.0000 0.0000
S1 S 0.0000 0.5000 0.0000
Cl1 Cl 0.0000 0.0000 0.5000
F1 F 0.5000 0.5000 0.5000
```

Which of them is most stable? Easy: 2).